The following is a DFT calculation (PBE) of a relaxed structure of Sr4HgAu2.

Cell lengths 12.6351, 9.8116, 8.5123 Å; angles 90.00, 109.62, 90.00 degrees
Space group Cm (No. 8)
Symmetry-distinct sites (fractional):
Sr 0.0000 0.0000 0.0000 x2
Sr 0.0005 0.0000 0.5098 x2
Sr 0.2637 0.2380 0.1386 x4
Sr 0.2732 0.2412 0.6437 x4
Sr 0.4913 0.0000 0.9930 x2
Sr 0.4938 0.0000 0.5108 x2
Hg 0.2083 0.5000 0.3560 x2
Hg 0.2184 0.5000 0.8709 x2
Au 0.0527 0.2499 0.7807 x4
Au 0.2126 0.0000 0.3636 x2
Au 0.2139 0.0000 0.8634 x2

***

The following is a DFT calculation (PBE) of a relaxed structure of Sr2Hg2Au15.

Cell lengths 9.8885, 9.8885, 14.1928 Å; angles 90.00, 90.00, 120.00 degrees
Space group R-3m (No. 166, hexagonal axes)
Symmetry-distinct sites (fractional):
Sr 0.0000 0.0000 0.1545 x6
Hg 0.0000 0.0000 0.3975 x6
Au 0.0000 0.3161 0.5000 x18
Au 0.0000 0.5000 0.0000 x9
Au 0.0083 0.5042 0.6577 x18

***

The following is a DFT calculation (PBE) of a relaxed structure of SrHg3Au.

Cell lengths 5.3822, 5.3822, 5.3822 Å; angles 90.00, 90.00, 90.00 degrees
Space group Pm-3m (No. 221)
Symmetry-distinct sites (fractional):
Sr 0.0000 0.0000 0.0000 x1
Hg 0.0000 0.5000 0.5000 x3
Au 0.5000 0.5000 0.5000 x1

***

The following is a DFT calculation (PBE) of a relaxed structure of Sr2Hg6Au.

Cell lengths 15.8937, 8.3319, 4.0181 Å; angles 90.00, 90.03, 90.00 degrees
Space group C2/m (No. 12)
Symmetry-distinct sites (fractional):
Sr 0.2032 0.0000 0.4989 x4
Hg 0.0000 0.1941 0.5000 x4
Hg 0.1469 0.3078 0.9984 x8
Au 0.0000 0.5000 0.0000 x2

***

The following is a DFT calculation (PBE) of a relaxed structure of Sr2Hg5Au4.

Cell lengths 5.9075, 9.3314, 9.9814 Å; angles 90.00, 90.00, 90.00 degrees
Space group Immm (No. 71)
Symmetry-distinct sites (fractional):
Sr 0.0000 0.0000 0.2271 x4
Hg 0.0000 0.5000 0.5000 x2
Hg 0.2500 0.1829 0.5000 x8
Au 0.0000 0.3394 0.2538 x8

***

The following is a DFT calculation (PBE) of a relaxed structure of Sr3Hg2Au.

Cell lengths 5.5960, 16.8530, 7.8490 Å; angles 90.00, 90.00, 90.00 degrees
Space group Cmmm (No. 65)
Symmetry-distinct sites (fractional):
Sr 0.0000 0.0000 0.2455 x4
Sr 0.0000 0.3302 0.2406 x8
Hg 0.0000 0.1668 0.5000 x4
Hg 0.0000 0.5000 0.0000 x2
Hg 0.0000 0.5000 0.5000 x2
Au 0.0000 0.1625 0.0000 x4

***

The following is a DFT calculation (PBE) of a relaxed structure of SrHg2Au.

Cell lengths 11.0309, 4.1874, 5.1874 Å; angles 90.00, 117.63, 90.00 degrees
Space group C2/m (No. 12)
Symmetry-distinct sites (fractional):
Sr 0.0000 0.0000 0.0000 x2
Hg 0.2271 0.0000 0.7273 x4
Au 0.0000 0.5000 0.5000 x2

***

The following is a DFT calculation (PBE) of a relaxed structure of SrHg2Au.

Cell lengths 4.4276, 4.4253, 11.1655 Å; angles 90.00, 92.34, 90.00 degrees
Space group P2_1/m (No. 11)
Symmetry-distinct sites (fractional):
Sr 0.2202 0.2500 0.2328 x2
Hg 0.2501 0.7500 0.4997 x2
Hg 0.2786 0.2500 0.9371 x2
Au 0.2707 0.2500 0.6806 x2

***

The following is a DFT calculation (PBE) of a relaxed structure of SrHg2Au8.

Cell lengths 5.5199, 5.5199, 9.5701 Å; angles 90.00, 90.00, 90.00 degrees
Space group P4/mmm (No. 123)
Symmetry-distinct sites (fractional):
Sr 0.0000 0.0000 0.0000 x1
Hg 0.0000 0.5000 0.5000 x2
Au 0.2517 0.2517 0.2673 x8

***

The following is a DFT calculation (PBE) of a relaxed structure of Sr2HgAu.

Cell lengths 5.5671, 5.5671, 3.8902 Å; angles 90.00, 90.00, 90.00 degrees
Space group P4/mmm (No. 123)
Symmetry-distinct sites (fractional):
Sr 0.0000 0.5000 0.0000 x2
Hg 0.0000 0.0000 0.5000 x1
Au 0.5000 0.5000 0.5000 x1

***

The following is a DFT calculation (PBE) of a relaxed structure of Sr2HgAu.

Cell lengths 4.1044, 4.3497, 15.4383 Å; angles 90.00, 90.00, 90.00 degrees
Space group Imm2 (No. 44)
Symmetry-distinct sites (fractional):
Sr 0.0000 0.0000 0.0000 x2
Sr 0.0000 0.5000 0.2350 x2
Hg 0.0000 0.0000 0.4014 x2
Au 0.0000 0.5000 0.6588 x2

***

The following is a DFT calculation (PBE) of a relaxed structure of SrHgAu2.

Cell lengths 5.0331, 5.0331, 19.1594 Å; angles 90.00, 90.00, 90.00 degrees
Space group I-42d (No. 122)
Symmetry-distinct sites (fractional):
Sr 0.0000 0.0000 0.0000 x4
Hg 0.0000 0.0000 0.5000 x4
Au 0.1289 0.2500 0.6250 x8

***

Number 1: magnetization 0.000 μB per cell, ΔH_f (0 K) -0.602 eV/atom, Fermi-level density of states 0.63 states/eV per atom. Number 2: magnetization 0.000 μB per cell, ΔH_f (0 K) -0.284 eV/atom, Fermi-level density of states 0.30 states/eV per atom. Number 3: magnetization 0.000 μB per cell, ΔH_f (0 K) -0.150 eV/atom, Fermi-level density of states 0.46 states/eV per atom. Number 4: magnetization 0.000 μB per cell, ΔH_f (0 K) -0.260 eV/atom, Fermi-level density of states 0.54 states/eV per atom. Number 5: magnetization 0.000 μB per cell, ΔH_f (0 K) -0.339 eV/atom, Fermi-level density of states 0.35 states/eV per atom. Number 6: magnetization 0.000 μB per cell, ΔH_f (0 K) -0.590 eV/atom, Fermi-level density of states 0.78 states/eV per atom. Number 7: magnetization 0.000 μB per cell, ΔH_f (0 K) -0.432 eV/atom, Fermi-level density of states 0.39 states/eV per atom. Number 8: magnetization 0.000 μB per cell, ΔH_f (0 K) -0.466 eV/atom, Fermi-level density of states 0.43 states/eV per atom. Number 9: magnetization 0.000 μB per cell, ΔH_f (0 K) -0.062 eV/atom, Fermi-level density of states 0.48 states/eV per atom. Number 10: magnetization 0.000 μB per cell, ΔH_f (0 K) -0.616 eV/atom, Fermi-level density of states 0.65 states/eV per atom. Number 11: magnetization 0.000 μB per cell, ΔH_f (0 K) -0.532 eV/atom, Fermi-level density of states 0.79 states/eV per atom. Number 12: magnetization 0.000 μB per cell, ΔH_f (0 K) -0.296 eV/atom, Fermi-level density of states 0.43 states/eV per atom.